1.
# PBE-GGA CeLuB4, relaxed
data_CeLuB4
_chemical_formula_sum 'Ce1 Lu1 B4'
_space_group_name_H-M_alt 'P 1'
_space_group_IT_number 1
_cell_length_a 4.7486
_cell_length_b 4.7486
_cell_length_c 4.7486
_cell_angle_alpha 60.00
_cell_angle_beta 60.00
_cell_angle_gamma 60.00
loop_
_space_group_symop_operation_xyz
'x,y,z'
loop_
_atom_site_label
_atom_site_type_symbol
_atom_site_fract_x
_atom_site_fract_y
_atom_site_fract_z
_atom_site_occupancy
Ce1 Ce 0.0000 0.0000 0.0000 1
Lu1 Lu 0.7500 0.7500 0.7500 1
B1 B 0.3432 0.3432 0.3432 1
B2 B 0.3432 0.3432 0.9703 1
B3 B 0.3432 0.9703 0.3432 1
B4 B 0.9703 0.3432 0.3432 1
# - Formation enthalpy at 0 K: 0.280 eV/atom

2.
# PBE-GGA CeMg6BO8, relaxed
data_CeMg6BO8
_chemical_formula_sum 'Ce1 Mg6 B1 O8'
_space_group_name_H-M_alt 'P 1'
_space_group_IT_number 1
_cell_length_a 4.4614
_cell_length_b 4.4614
_cell_length_c 9.1603
_cell_angle_alpha 90.00
_cell_angle_beta 90.00
_cell_angle_gamma 90.00
loop_
_space_group_symop_operation_xyz
'x,y,z'
loop_
_atom_site_label
_atom_site_type_symbol
_atom_site_fract_x
_atom_site_fract_y
_atom_site_fract_z
_atom_site_occupancy
Ce1 Ce 0.0000 0.0000 0.0000 1
Mg1 Mg 0.0000 0.5000 0.2811 1
Mg2 Mg 0.0000 0.5000 0.7189 1
Mg3 Mg 0.5000 0.0000 0.2811 1
Mg4 Mg 0.5000 0.0000 0.7189 1
Mg5 Mg 0.5000 0.5000 0.0000 1
Mg6 Mg 0.5000 0.5000 0.5000 1
B1 B 0.0000 0.0000 0.5000 1
O1 O 0.0000 0.0000 0.2502 1
O2 O 0.0000 0.0000 0.7498 1
O3 O 0.0000 0.5000 0.0000 1
O4 O 0.0000 0.5000 0.5000 1
O5 O 0.5000 0.0000 0.0000 1
O6 O 0.5000 0.0000 0.5000 1
O7 O 0.5000 0.5000 0.2556 1
O8 O 0.5000 0.5000 0.7444 1
# - Energy relative to the elements, uncorrected: -3225 kJ/mol of formula units
# - Distance to the lowest polymorph of the same formula: 78 meV per atom

3.
# PBE-GGA CeMg6BO8, relaxed
data_CeMg6BO8
_chemical_formula_sum 'Ce1 Mg6 B1 O8'
_space_group_name_H-M_alt 'P 1'
_space_group_IT_number 1
_cell_length_a 4.3881
_cell_length_b 4.3881
_cell_length_c 9.3325
_cell_angle_alpha 90.00
_cell_angle_beta 90.00
_cell_angle_gamma 90.00
loop_
_space_group_symop_operation_xyz
'x,y,z'
loop_
_atom_site_label
_atom_site_type_symbol
_atom_site_fract_x
_atom_site_fract_y
_atom_site_fract_z
_atom_site_occupancy
Ce1 Ce 0.0000 0.0000 0.0000 1
Mg1 Mg 0.0000 0.0000 0.5000 1
Mg2 Mg 0.0000 0.5000 0.2744 1
Mg3 Mg 0.0000 0.5000 0.7256 1
Mg4 Mg 0.5000 0.0000 0.2744 1
Mg5 Mg 0.5000 0.0000 0.7256 1
Mg6 Mg 0.5000 0.5000 0.5000 1
B1 B 0.5000 0.5000 0.0000 1
O1 O 0.0000 0.0000 0.2675 1
O2 O 0.0000 0.0000 0.7325 1
O3 O 0.0000 0.5000 0.0000 1
O4 O 0.0000 0.5000 0.5000 1
O5 O 0.5000 0.0000 0.0000 1
O6 O 0.5000 0.0000 0.5000 1
O7 O 0.5000 0.5000 0.2822 1
O8 O 0.5000 0.5000 0.7178 1
# - Energy relative to the elements, uncorrected: -3344 kJ/mol of formula units
# - Distance to the lowest polymorph of the same formula: 0 meV per atom

4.
# PBE-GGA Ce2MgB2O6, relaxed
data_Ce2MgB2O6
_chemical_formula_sum 'Ce2 Mg1 B2 O6'
_space_group_name_H-M_alt 'P 1'
_space_group_IT_number 1
_cell_length_a 5.0496
_cell_length_b 5.0496
_cell_length_c 8.0022
_cell_angle_alpha 90.00
_cell_angle_beta 90.00
_cell_angle_gamma 120.00
loop_
_space_group_symop_operation_xyz
'x,y,z'
loop_
_atom_site_label
_atom_site_type_symbol
_atom_site_fract_x
_atom_site_fract_y
_atom_site_fract_z
_atom_site_occupancy
Ce1 Ce 0.3333 0.6667 0.2251 1
Ce2 Ce 0.6667 0.3333 0.7749 1
Mg1 Mg 0.0000 0.0000 0.5000 1
B1 B 0.3333 0.6667 0.6617 1
B2 B 0.6667 0.3333 0.3383 1
O1 O 0.1079 0.3623 0.6621 1
O2 O 0.2544 0.8921 0.6621 1
O3 O 0.3623 0.2544 0.3379 1
O4 O 0.6377 0.7456 0.6621 1
O5 O 0.7456 0.1079 0.3379 1
O6 O 0.8921 0.6377 0.3379 1
# - Energy relative to the elements, uncorrected: -2672 kJ/mol of formula units

5.
# PBE-GGA CeMg4B3O12, relaxed
data_CeMg4B3O12
_chemical_formula_sum 'Ce1 Mg4 B3 O12'
_space_group_name_H-M_alt 'P 1'
_space_group_IT_number 1
_cell_length_a 6.2366
_cell_length_b 6.2366
_cell_length_c 6.2366
_cell_angle_alpha 109.47
_cell_angle_beta 109.47
_cell_angle_gamma 109.47
loop_
_space_group_symop_operation_xyz
'x,y,z'
loop_
_atom_site_label
_atom_site_type_symbol
_atom_site_fract_x
_atom_site_fract_y
_atom_site_fract_z
_atom_site_occupancy
Ce1 Ce 0.0000 0.0000 0.0000 1
Mg1 Mg 0.0000 0.0000 0.5000 1
Mg2 Mg 0.0000 0.5000 0.0000 1
Mg3 Mg 0.5000 0.0000 0.0000 1
Mg4 Mg 0.5000 0.5000 0.5000 1
B1 B 0.0000 0.5000 0.5000 1
B2 B 0.5000 0.0000 0.5000 1
B3 B 0.5000 0.5000 0.0000 1
O1 O 0.1449 0.3385 0.4833 1
O2 O 0.1449 0.6615 0.8064 1
O3 O 0.1936 0.8551 0.3385 1
O4 O 0.3385 0.1936 0.8551 1
O5 O 0.3385 0.4833 0.1449 1
O6 O 0.4833 0.1449 0.3385 1
O7 O 0.5167 0.8551 0.6615 1
O8 O 0.6615 0.5167 0.8551 1
O9 O 0.6615 0.8064 0.1449 1
O10 O 0.8064 0.1449 0.6615 1
O11 O 0.8551 0.3385 0.1936 1
O12 O 0.8551 0.6615 0.5167 1
# - Energy relative to the elements, uncorrected: -3648 kJ/mol of formula units

6.
# PBE-GGA Ce2MgBPt6, relaxed
data_Ce2MgBPt6
_chemical_formula_sum 'Ce4 Mg2 B2 Pt12'
_space_group_name_H-M_alt 'P 1'
_space_group_IT_number 1
_cell_length_a 5.7052
_cell_length_b 8.6943
_cell_length_c 7.6173
_cell_angle_alpha 90.00
_cell_angle_beta 90.00
_cell_angle_gamma 90.00
loop_
_space_group_symop_operation_xyz
'x,y,z'
loop_
_atom_site_label
_atom_site_type_symbol
_atom_site_fract_x
_atom_site_fract_y
_atom_site_fract_z
_atom_site_occupancy
Ce1 Ce 0.2500 0.0254 0.2227 1
Ce2 Ce 0.2500 0.4746 0.2227 1
Ce3 Ce 0.7500 0.5254 0.7773 1
Ce4 Ce 0.7500 0.9746 0.7773 1
Mg1 Mg 0.2500 0.7500 0.8262 1
Mg2 Mg 0.7500 0.2500 0.1738 1
B1 B 0.2500 0.2500 0.6847 1
B2 B 0.7500 0.7500 0.3153 1
Pt1 Pt 0.0065 0.2500 0.8956 1
Pt2 Pt 0.0092 0.7500 0.5179 1
Pt3 Pt 0.2500 0.0062 0.6349 1
Pt4 Pt 0.2500 0.4938 0.6349 1
Pt5 Pt 0.4908 0.7500 0.5179 1
Pt6 Pt 0.4935 0.2500 0.8956 1
Pt7 Pt 0.5065 0.7500 0.1044 1
Pt8 Pt 0.5092 0.2500 0.4821 1
Pt9 Pt 0.7500 0.5062 0.3651 1
Pt10 Pt 0.7500 0.9938 0.3651 1
Pt11 Pt 0.9908 0.2500 0.4821 1
Pt12 Pt 0.9935 0.7500 0.1044 1
# - Formation enthalpy at 0 K: -0.815 eV/atom

7.
# PBE-GGA CeMg2B2Rh5, relaxed
data_CeMg2B2Rh5
_chemical_formula_sum 'Ce2 Mg4 B4 Rh10'
_space_group_name_H-M_alt 'P 1'
_space_group_IT_number 1
_cell_length_a 9.6226
_cell_length_b 9.6226
_cell_length_c 3.1376
_cell_angle_alpha 90.00
_cell_angle_beta 90.00
_cell_angle_gamma 90.00
loop_
_space_group_symop_operation_xyz
'x,y,z'
loop_
_atom_site_label
_atom_site_type_symbol
_atom_site_fract_x
_atom_site_fract_y
_atom_site_fract_z
_atom_site_occupancy
Ce1 Ce 0.0000 0.0000 0.0000 1
Ce2 Ce 0.5000 0.5000 0.0000 1
Mg1 Mg 0.1732 0.3268 0.0000 1
Mg2 Mg 0.3268 0.8268 0.0000 1
Mg3 Mg 0.6732 0.1732 0.0000 1
Mg4 Mg 0.8268 0.6732 0.0000 1
B1 B 0.1190 0.6190 0.0000 1
B2 B 0.3810 0.1190 0.0000 1
B3 B 0.6190 0.8810 0.0000 1
B4 B 0.8810 0.3810 0.0000 1
Rh1 Rh 0.0000 0.5000 0.5000 1
Rh2 Rh 0.0742 0.7750 0.5000 1
Rh3 Rh 0.2250 0.0742 0.5000 1
Rh4 Rh 0.2750 0.5742 0.5000 1
Rh5 Rh 0.4258 0.2750 0.5000 1
Rh6 Rh 0.5000 0.0000 0.5000 1
Rh7 Rh 0.5742 0.7250 0.5000 1
Rh8 Rh 0.7250 0.4258 0.5000 1
Rh9 Rh 0.7750 0.9258 0.5000 1
Rh10 Rh 0.9258 0.2250 0.5000 1
# - Formation enthalpy at 0 K: -0.504 eV/atom

8.
# PBE-GGA CeMgBRh4, relaxed
data_CeMgBRh4
_chemical_formula_sum 'Ce2 Mg2 B2 Rh8'
_space_group_name_H-M_alt 'P 1'
_space_group_IT_number 1
_cell_length_a 7.2482
_cell_length_b 7.2482
_cell_length_c 5.8933
_cell_angle_alpha 90.00
_cell_angle_beta 90.00
_cell_angle_gamma 132.49
loop_
_space_group_symop_operation_xyz
'x,y,z'
loop_
_atom_site_label
_atom_site_type_symbol
_atom_site_fract_x
_atom_site_fract_y
_atom_site_fract_z
_atom_site_occupancy
Ce1 Ce 0.0858 0.9142 0.7500 1
Ce2 Ce 0.9142 0.0858 0.2500 1
Mg1 Mg 0.3850 0.6150 0.7500 1
Mg2 Mg 0.6150 0.3850 0.2500 1
B1 B 0.2635 0.7365 0.2500 1
B2 B 0.7365 0.2635 0.7500 1
Rh1 Rh 0.0000 0.5000 0.0000 1
Rh2 Rh 0.0000 0.5000 0.5000 1
Rh3 Rh 0.0976 0.9024 0.2500 1
Rh4 Rh 0.4158 0.5842 0.2500 1
Rh5 Rh 0.5000 0.0000 0.0000 1
Rh6 Rh 0.5000 0.0000 0.5000 1
Rh7 Rh 0.5842 0.4158 0.7500 1
Rh8 Rh 0.9024 0.0976 0.7500 1
# - Formation enthalpy at 0 K: -0.492 eV/atom

9.
# PBE-GGA CeMnB2, relaxed
data_CeMnB2
_chemical_formula_sum 'Ce1 Mn1 B2'
_space_group_name_H-M_alt 'P 1'
_space_group_IT_number 1
_cell_length_a 5.1668
_cell_length_b 5.1668
_cell_length_c 5.1668
_cell_angle_alpha 39.76
_cell_angle_beta 39.76
_cell_angle_gamma 39.76
loop_
_space_group_symop_operation_xyz
'x,y,z'
loop_
_atom_site_label
_atom_site_type_symbol
_atom_site_fract_x
_atom_site_fract_y
_atom_site_fract_z
_atom_site_occupancy
Ce1 Ce 0.0000 0.0000 0.0000 1
Mn1 Mn 0.5000 0.5000 0.5000 1
B1 B 0.1946 0.1946 0.1946 1
B2 B 0.8054 0.8054 0.8054 1
# - Formation enthalpy at 0 K: -0.107 eV/atom

Looking at D(E_F) for the records above, in order, we have 0.475; 0.239; 0.172; 1.469; 0.043; 1.189; 0.415; 0.586; 0.897 states/eV/atom.
Looking at calculated total energy for the records above, in order, we have -35.48; -95.27; -96.51; -84.26; -129.65; -129.06; -128.54; -94.11; -28.89 eV/cell.